A relaxed structure of FeTcOs2, computed with PBE-GGA.

abc: 2.7019 3.8052 5.3391
angles: 90.00 90.00 90.00
Space group Pmm2 (No. 25)
Unique sites:
Fe 0.0000 0.0000 0.0000
Tc 0.5000 0.5000 0.7565
Os 0.0000 0.0000 0.4942
Os 0.5000 0.5000 0.2376

## Properties
V: 13.72 A^3/atom
total energy: -10.206 eV per atom
E_form: 0.12 eV per atom